No. 1
# BeAlPd2, optimized geometry, DFT PBE
data_BeAlPd2
_chemical_formula_sum 'Be2 Al2 Pd4'
_space_group_name_H-M_alt 'P 1'
_space_group_IT_number 1
_space_group_name_Hall 'P 1'
_cell_length_a 3.897
_cell_length_b 3.897
_cell_length_c 8.446
_cell_angle_alpha 76.66
_cell_angle_beta 76.66
_cell_angle_gamma 90.00
loop_
_atom_site_label
_atom_site_type_symbol
_atom_site_fract_x
_atom_site_fract_y
_atom_site_fract_z
Be1 Be 0.500 0.500 0.000
Be2 Be 0.250 0.750 0.500
Al1 Al 0.000 0.000 0.000
Al2 Al 0.750 0.250 0.500
Pd1 Pd 0.610 0.125 0.250
Pd2 Pd 0.140 0.625 0.250
Pd3 Pd 0.375 0.390 0.750
Pd4 Pd 0.875 0.860 0.750
# SG: No. 122
# N(E_F), states/eV/cell: 2.30
# Formation energy from the elements, eV/atom: -0.194

No. 2
# BeAlPd4, optimized geometry, DFT PBE
data_BeAlPd4
_chemical_formula_sum 'Be1 Al1 Pd4'
_space_group_name_H-M_alt 'P 1'
_space_group_IT_number 1
_space_group_name_Hall 'P 1'
_cell_length_a 4.011
_cell_length_b 4.052
_cell_length_c 6.867
_cell_angle_alpha 72.54
_cell_angle_beta 73.02
_cell_angle_gamma 60.34
loop_
_atom_site_label
_atom_site_type_symbol
_atom_site_fract_x
_atom_site_fract_y
_atom_site_fract_z
Be1 Be 0.000 0.000 0.000
Al1 Al 0.500 0.500 0.500
Pd1 Pd 0.630 0.630 0.110
Pd2 Pd 0.370 0.370 0.890
Pd3 Pd 0.122 0.116 0.639
Pd4 Pd 0.878 0.884 0.361
# Energy relative to the lowest polymorph listed for this composition, meV/atom: 113
# SG: No. 12
# N(E_F), states/eV/cell: 2.44
# Formation energy from the elements, eV/atom: -0.501

No. 3
# BeAlPd4, optimized geometry, DFT PBE
data_BeAlPd4
_chemical_formula_sum 'Be4 Al4 Pd16'
_space_group_name_H-M_alt 'P 1'
_space_group_IT_number 1
_space_group_name_Hall 'P 1'
_cell_length_a 2.881
_cell_length_b 6.862
_cell_length_c 16.681
_cell_angle_alpha 90.00
_cell_angle_beta 90.00
_cell_angle_gamma 90.00
loop_
_atom_site_label
_atom_site_type_symbol
_atom_site_fract_x
_atom_site_fract_y
_atom_site_fract_z
Be1 Be 0.750 0.247 0.452
Be2 Be 0.250 0.753 0.548
Be3 Be 0.250 0.253 0.952
Be4 Be 0.750 0.747 0.048
Al1 Al 0.750 0.724 0.817
Al2 Al 0.250 0.276 0.183
Al3 Al 0.250 0.776 0.317
Al4 Al 0.750 0.224 0.683
Pd1 Pd 0.750 0.854 0.653
Pd2 Pd 0.250 0.146 0.347
Pd3 Pd 0.250 0.646 0.153
Pd4 Pd 0.750 0.354 0.847
Pd5 Pd 0.750 0.878 0.445
Pd6 Pd 0.250 0.122 0.555
Pd7 Pd 0.250 0.622 0.945
Pd8 Pd 0.750 0.378 0.055
Pd9 Pd 0.750 0.985 0.930
Pd10 Pd 0.250 0.015 0.070
Pd11 Pd 0.250 0.515 0.430
Pd12 Pd 0.750 0.485 0.570
Pd13 Pd 0.750 0.969 0.215
Pd14 Pd 0.250 0.031 0.785
Pd15 Pd 0.250 0.531 0.715
Pd16 Pd 0.750 0.469 0.285
# Energy relative to the lowest polymorph listed for this composition, meV/atom: 0
# SG: No. 62
# N(E_F), states/eV/cell: 9.68
# Formation energy from the elements, eV/atom: -0.613

No. 4
# Be2AlPd4, optimized geometry, DFT PBE
data_Be2AlPd4
_chemical_formula_sum 'Be2 Al1 Pd4'
_space_group_name_H-M_alt 'P 1'
_space_group_IT_number 1
_space_group_name_Hall 'P 1'
_cell_length_a 4.979
_cell_length_b 4.979
_cell_length_c 4.979
_cell_angle_alpha 109.87
_cell_angle_beta 109.27
_cell_angle_gamma 109.27
loop_
_atom_site_label
_atom_site_type_symbol
_atom_site_fract_x
_atom_site_fract_y
_atom_site_fract_z
Be1 Be 0.500 0.500 0.000
Be2 Be 0.500 0.000 0.500
Al1 Al 0.000 0.000 0.000
Pd1 Pd 0.500 0.000 0.000
Pd2 Pd 0.500 0.500 0.500
Pd3 Pd 0.000 0.000 0.500
Pd4 Pd 0.000 0.500 0.000
# SG: No. 139
# N(E_F), states/eV/cell: 2.56
# Formation energy from the elements, eV/atom: -0.553

No. 5
# Be2AlPd8, optimized geometry, DFT PBE
data_Be2AlPd8
_chemical_formula_sum 'Be2 Al1 Pd8'
_space_group_name_H-M_alt 'P 1'
_space_group_IT_number 1
_space_group_name_Hall 'P 1'
_cell_length_a 3.844
_cell_length_b 6.839
_cell_length_c 7.125
_cell_angle_alpha 118.68
_cell_angle_beta 105.65
_cell_angle_gamma 90.00
loop_
_atom_site_label
_atom_site_type_symbol
_atom_site_fract_x
_atom_site_fract_y
_atom_site_fract_z
Be1 Be 0.198 0.698 0.396
Be2 Be 0.802 0.302 0.604
Al1 Al 0.500 0.000 0.000
Pd1 Pd 0.666 0.875 0.331
Pd2 Pd 0.334 0.544 0.669
Pd3 Pd 0.141 0.141 0.281
Pd4 Pd 0.000 0.312 0.000
Pd5 Pd 0.859 0.859 0.719
Pd6 Pd 0.666 0.456 0.331
Pd7 Pd 0.334 0.125 0.669
Pd8 Pd 0.000 0.688 0.000
# Energy relative to the lowest polymorph listed for this composition, meV/atom: 51
# SG: No. 71
# N(E_F), states/eV/cell: 7.25
# Formation energy from the elements, eV/atom: -0.392

No. 6
# Be4AlPd, optimized geometry, DFT PBE
data_Be4AlPd
_chemical_formula_sum 'Be4 Al1 Pd1'
_space_group_name_H-M_alt 'P 1'
_space_group_IT_number 1
_space_group_name_Hall 'P 1'
_cell_length_a 4.391
_cell_length_b 4.391
_cell_length_c 4.391
_cell_angle_alpha 60.00
_cell_angle_beta 60.00
_cell_angle_gamma 60.00
loop_
_atom_site_label
_atom_site_type_symbol
_atom_site_fract_x
_atom_site_fract_y
_atom_site_fract_z
Be1 Be 0.626 0.626 0.123
Be2 Be 0.626 0.123 0.626
Be3 Be 0.626 0.626 0.626
Be4 Be 0.123 0.626 0.626
Al1 Al 0.250 0.250 0.250
Pd1 Pd 0.000 0.000 0.000
# SG: No. 216
# N(E_F), states/eV/cell: 2.76
# Formation energy from the elements, eV/atom: -0.361

No. 7
# BeAl2Pd8, optimized geometry, DFT PBE
data_BeAl2Pd8
_chemical_formula_sum 'Be1 Al2 Pd8'
_space_group_name_H-M_alt 'P 1'
_space_group_IT_number 1
_space_group_name_Hall 'P 1'
_cell_length_a 4.014
_cell_length_b 5.507
_cell_length_c 7.716
_cell_angle_alpha 101.39
_cell_angle_beta 105.08
_cell_angle_gamma 90.00
loop_
_atom_site_label
_atom_site_type_symbol
_atom_site_fract_x
_atom_site_fract_y
_atom_site_fract_z
Be1 Be 0.500 0.000 0.000
Al1 Al 0.818 0.260 0.635
Al2 Al 0.182 0.740 0.365
Pd1 Pd 0.404 0.533 0.807
Pd2 Pd 0.647 0.987 0.294
Pd3 Pd 0.787 0.688 0.575
Pd4 Pd 0.983 0.236 0.967
Pd5 Pd 0.213 0.312 0.425
Pd6 Pd 0.353 0.013 0.706
Pd7 Pd 0.596 0.467 0.193
Pd8 Pd 0.017 0.764 0.033
# Energy relative to the lowest polymorph listed for this composition, meV/atom: 0
# SG: No. 12
# N(E_F), states/eV/cell: 4.02
# Formation energy from the elements, eV/atom: -0.535

No. 8
# Be2AlPd8, optimized geometry, DFT PBE
data_Be2AlPd8
_chemical_formula_sum 'Be2 Al1 Pd8'
_space_group_name_H-M_alt 'P 1'
_space_group_IT_number 1
_space_group_name_Hall 'P 1'
_cell_length_a 4.021
_cell_length_b 5.806
_cell_length_c 7.260
_cell_angle_alpha 107.98
_cell_angle_beta 106.08
_cell_angle_gamma 90.00
loop_
_atom_site_label
_atom_site_type_symbol
_atom_site_fract_x
_atom_site_fract_y
_atom_site_fract_z
Be1 Be 0.812 0.308 0.624
Be2 Be 0.188 0.692 0.376
Al1 Al 0.500 0.000 0.000
Pd1 Pd 0.402 0.523 0.805
Pd2 Pd 0.675 0.965 0.351
Pd3 Pd 0.808 0.696 0.615
Pd4 Pd 0.969 0.234 0.937
Pd5 Pd 0.192 0.304 0.385
Pd6 Pd 0.325 0.035 0.649
Pd7 Pd 0.598 0.477 0.195
Pd8 Pd 0.031 0.766 0.063
# Energy relative to the lowest polymorph listed for this composition, meV/atom: 0
# SG: No. 12
# N(E_F), states/eV/cell: 4.32
# Formation energy from the elements, eV/atom: -0.443

No. 9
# BeAlPd5, optimized geometry, DFT PBE
data_BeAlPd5
_chemical_formula_sum 'Be2 Al2 Pd10'
_space_group_name_H-M_alt 'P 1'
_space_group_IT_number 1
_space_group_name_Hall 'P 1'
_cell_length_a 5.331
_cell_length_b 5.331
_cell_length_c 10.217
_cell_angle_alpha 61.39
_cell_angle_beta 61.39
_cell_angle_gamma 65.41
loop_
_atom_site_label
_atom_site_type_symbol
_atom_site_fract_x
_atom_site_fract_y
_atom_site_fract_z
Be1 Be 0.000 0.000 0.000
Be2 Be 0.000 0.000 0.500
Al1 Al 0.670 0.330 0.250
Al2 Al 0.330 0.670 0.750
Pd1 Pd 0.622 0.862 0.235
Pd2 Pd 0.283 0.454 0.484
Pd3 Pd 0.862 0.622 0.735
Pd4 Pd 0.086 0.914 0.250
Pd5 Pd 0.546 0.717 0.016
Pd6 Pd 0.454 0.283 0.984
Pd7 Pd 0.914 0.086 0.750
Pd8 Pd 0.138 0.378 0.265
Pd9 Pd 0.717 0.546 0.516
Pd10 Pd 0.378 0.138 0.765
# SG: No. 15
# N(E_F), states/eV/cell: 6.54
# Formation energy from the elements, eV/atom: -0.286

No. 10
# BeAl4Pd5, optimized geometry, DFT PBE
data_BeAl4Pd5
_chemical_formula_sum 'Be1 Al4 Pd5'
_space_group_name_H-M_alt 'P 1'
_space_group_IT_number 1
_space_group_name_Hall 'P 1'
_cell_length_a 3.016
_cell_length_b 3.016
_cell_length_c 15.339
_cell_angle_alpha 90.00
_cell_angle_beta 90.00
_cell_angle_gamma 90.00
loop_
_atom_site_label
_atom_site_type_symbol
_atom_site_fract_x
_atom_site_fract_y
_atom_site_fract_z
Be1 Be 0.000 0.000 0.000
Al1 Al 0.000 0.000 0.190
Al2 Al 0.000 0.000 0.397
Al3 Al 0.000 0.000 0.603
Al4 Al 0.000 0.000 0.810
Pd1 Pd 0.500 0.500 0.090
Pd2 Pd 0.500 0.500 0.293
Pd3 Pd 0.500 0.500 0.500
Pd4 Pd 0.500 0.500 0.707
Pd5 Pd 0.500 0.500 0.910
# SG: No. 123
# N(E_F), states/eV/cell: 4.14
# Formation energy from the elements, eV/atom: -0.794

No. 11
# Be2Al5Pd12, optimized geometry, DFT PBE
data_Be2Al5Pd12
_chemical_formula_sum 'Be2 Al5 Pd12'
_space_group_name_H-M_alt 'P 1'
_space_group_IT_number 1
_space_group_name_Hall 'P 1'
_cell_length_a 5.625
_cell_length_b 7.608
_cell_length_c 6.999
_cell_angle_alpha 82.58
_cell_angle_beta 90.00
_cell_angle_gamma 111.70
loop_
_atom_site_label
_atom_site_type_symbol
_atom_site_fract_x
_atom_site_fract_y
_atom_site_fract_z
Be1 Be 0.686 0.000 0.000
Be2 Be 0.314 0.000 0.000
Al1 Al 0.228 0.457 0.757
Al2 Al 0.293 0.586 0.238
Al3 Al 0.000 0.000 0.500
Al4 Al 0.707 0.414 0.762
Al5 Al 0.772 0.543 0.243
Pd1 Pd 0.953 0.906 0.187
Pd2 Pd 0.095 0.694 0.928
Pd3 Pd 0.599 0.694 0.928
Pd4 Pd 0.098 0.695 0.517
Pd5 Pd 0.597 0.695 0.517
Pd6 Pd 0.500 0.999 0.707
Pd7 Pd 0.500 0.001 0.293
Pd8 Pd 0.902 0.305 0.483
Pd9 Pd 0.403 0.305 0.483
Pd10 Pd 0.905 0.306 0.072
Pd11 Pd 0.401 0.306 0.072
Pd12 Pd 0.047 0.094 0.813
# SG: No. 12
# N(E_F), states/eV/cell: 5.94
# Formation energy from the elements, eV/atom: -0.621

No. 12
# BeAl2Pd8, optimized geometry, DFT PBE
data_BeAl2Pd8
_chemical_formula_sum 'Be1 Al2 Pd8'
_space_group_name_H-M_alt 'P 1'
_space_group_IT_number 1
_space_group_name_Hall 'P 1'
_cell_length_a 4.066
_cell_length_b 7.183
_cell_length_c 6.932
_cell_angle_alpha 121.21
_cell_angle_beta 107.05
_cell_angle_gamma 90.00
loop_
_atom_site_label
_atom_site_type_symbol
_atom_site_fract_x
_atom_site_fract_y
_atom_site_fract_z
Be1 Be 0.500 0.000 0.000
Al1 Al 0.201 0.701 0.401
Al2 Al 0.799 0.299 0.599
Pd1 Pd 0.658 0.880 0.317
Pd2 Pd 0.342 0.563 0.683
Pd3 Pd 0.131 0.131 0.262
Pd4 Pd 0.000 0.317 0.000
Pd5 Pd 0.869 0.869 0.738
Pd6 Pd 0.658 0.437 0.317
Pd7 Pd 0.342 0.120 0.683
Pd8 Pd 0.000 0.683 0.000
# Energy relative to the lowest polymorph listed for this composition, meV/atom: 26
# SG: No. 71
# N(E_F), states/eV/cell: 5.31
# Formation energy from the elements, eV/atom: -0.510